## a
Computed, not measured: an optimized crystal structure of TlZn2Ag at the PBE level of DFT. Values from VASP.

```
&SYSTEM
  ibrav = 0, nat = 4, ntyp = 3
/
ATOMIC_SPECIES
Tl 204.38 Tl.upf
Zn 65.41 Zn.upf
Ag 107.87 Ag.upf
CELL_PARAMETERS angstrom
3.2142 0.0000 0.0000
0.0000 4.2771 0.0000
-0.8951 0.0000 5.8726
ATOMIC_POSITIONS crystal
Tl 0.0000 0.0000 0.0000
Zn 0.5571 0.5000 0.2367
Zn 0.6414 0.0000 0.5077
Ag 0.1765 0.5000 0.6281
```

## b
Computed, not measured: an optimized crystal structure of TlZn2Ag at the PBE level of DFT. Values from VASP.

```
&SYSTEM
  ibrav = 0, nat = 4, ntyp = 3
/
ATOMIC_SPECIES
Tl 204.38 Tl.upf
Zn 65.41 Zn.upf
Ag 107.87 Ag.upf
CELL_PARAMETERS angstrom
4.5639 -1.6319 0.0000
4.5639 1.6319 0.0000
-1.0839 0.0000 5.4605
ATOMIC_POSITIONS crystal
Tl 0.0000 0.0000 0.0000
Zn 0.2387 0.2387 0.6940
Zn 0.7613 0.7613 0.3060
Ag 0.5000 0.5000 0.5000
```

## c
Computed, not measured: an optimized crystal structure of TlZn2Ag at the PBE level of DFT. Values from VASP.

```
&SYSTEM
  ibrav = 0, nat = 4, ntyp = 3
/
ATOMIC_SPECIES
Tl 204.38 Tl.upf
Zn 65.41 Zn.upf
Ag 107.87 Ag.upf
CELL_PARAMETERS angstrom
3.1683 0.0000 0.0000
0.0000 3.1683 0.0000
0.0000 0.0000 7.9985
ATOMIC_POSITIONS crystal
Tl 0.0000 0.0000 0.0000
Zn 0.5000 0.5000 0.2927
Zn 0.5000 0.5000 0.7073
Ag 0.0000 0.0000 0.5000
```

## d
Computed, not measured: an optimized crystal structure of TlZn2Ag at the PBE level of DFT. Values from VASP.

```
&SYSTEM
  ibrav = 0, nat = 4, ntyp = 3
/
ATOMIC_SPECIES
Tl 204.38 Tl.upf
Zn 65.41 Zn.upf
Ag 107.87 Ag.upf
CELL_PARAMETERS angstrom
-2.1306 2.1306 4.2811
2.1306 -2.1306 4.2811
2.1306 2.1306 -4.2811
ATOMIC_POSITIONS crystal
Tl 0.0000 0.0000 0.0000
Zn 0.2500 0.7500 0.5000
Zn 0.5000 0.5000 0.0000
Ag 0.7500 0.2500 0.5000
```

How do the energies compare? Relative to the most stable structure, in meV/atom: a 14; b 7; c 0; d 51.

## a
Computed, not measured: an optimized crystal structure of Tl2ZnAg at the PBE level of DFT. Values from VASP.

```
&SYSTEM
  ibrav = 0, nat = 4, ntyp = 3
/
ATOMIC_SPECIES
Tl 204.38 Tl.upf
Zn 65.41 Zn.upf
Ag 107.87 Ag.upf
CELL_PARAMETERS angstrom
-1.6413 2.6424 5.5006
1.6413 -2.6424 5.5006
1.6413 2.6424 -5.5006
ATOMIC_POSITIONS crystal
Tl 0.0000 0.0000 0.0000
Tl 0.7103 0.2103 0.5000
Zn 0.4548 0.4548 0.0000
Ag 0.2589 0.7589 0.5000
```

## b
Computed, not measured: an optimized crystal structure of Tl2ZnAg at the PBE level of DFT. Values from VASP.

```
&SYSTEM
  ibrav = 0, nat = 4, ntyp = 3
/
ATOMIC_SPECIES
Tl 204.38 Tl.upf
Zn 65.41 Zn.upf
Ag 107.87 Ag.upf
CELL_PARAMETERS angstrom
4.5814 -1.6965 0.0000
4.5814 1.6965 0.0000
-1.2806 0.0000 6.1616
ATOMIC_POSITIONS crystal
Tl 0.2503 0.2503 0.2503
Tl 0.7497 0.7497 0.7497
Zn 0.0000 0.0000 0.5000
Ag 0.5000 0.5000 0.0000
```

## c
Computed, not measured: an optimized crystal structure of Tl2ZnAg at the PBE level of DFT. Values from VASP.

```
&SYSTEM
  ibrav = 0, nat = 4, ntyp = 3
/
ATOMIC_SPECIES
Tl 204.38 Tl.upf
Zn 65.41 Zn.upf
Ag 107.87 Ag.upf
CELL_PARAMETERS angstrom
3.4248 0.0000 0.0000
0.0000 3.9744 0.0000
0.0000 0.0000 6.9757
ATOMIC_POSITIONS crystal
Tl 0.0000 0.0000 0.2494
Tl 0.0000 0.0000 0.7506
Zn 0.5000 0.5000 0.0000
Ag 0.5000 0.5000 0.5000
```

## d
Computed, not measured: an optimized crystal structure of Tl2ZnAg at the PBE level of DFT. Values from VASP.

```
&SYSTEM
  ibrav = 0, nat = 8, ntyp = 3
/
ATOMIC_SPECIES
Tl 204.38 Tl.upf
Zn 65.41 Zn.upf
Ag 107.87 Ag.upf
CELL_PARAMETERS angstrom
-4.0245 4.0245 3.1066
4.0245 -4.0245 3.1066
4.0245 4.0245 -3.1066
ATOMIC_POSITIONS crystal
Tl 0.1173 0.6250 0.9923
Tl 0.3750 0.3673 0.4923
Tl 0.6327 0.1250 0.0077
Tl 0.8750 0.8827 0.5077
Zn 0.0000 0.0000 0.0000
Zn 0.7500 0.2500 0.5000
Ag 0.2500 0.7500 0.5000
Ag 0.5000 0.5000 0.0000
```

How do the energies compare? Relative to the most stable structure, in meV/atom: a 0; b 41; c 30; d 102.

## a
Computed, not measured: an optimized crystal structure of Tl2ZnAg at the PBE level of DFT. Values from VASP.

```
&SYSTEM
  ibrav = 0, nat = 4, ntyp = 3
/
ATOMIC_SPECIES
Tl 204.38 Tl.upf
Zn 65.41 Zn.upf
Ag 107.87 Ag.upf
CELL_PARAMETERS angstrom
1.7193 0.9926 9.3755
-1.7193 0.9926 9.3755
0.0000 -1.9852 9.3755
ATOMIC_POSITIONS crystal
Tl 0.0000 0.0000 0.0000
Tl 0.2303 0.2303 0.2303
Zn 0.7484 0.7484 0.7484
Ag 0.4794 0.4794 0.4794
```

## b
Computed, not measured: an optimized crystal structure of Tl2ZnAg at the PBE level of DFT. Values from VASP.

```
&SYSTEM
  ibrav = 0, nat = 4, ntyp = 3
/
ATOMIC_SPECIES
Tl 204.38 Tl.upf
Zn 65.41 Zn.upf
Ag 107.87 Ag.upf
CELL_PARAMETERS angstrom
4.8902 0.0000 0.0000
0.0000 4.8902 0.0000
0.0000 0.0000 3.9570
ATOMIC_POSITIONS crystal
Tl 0.0000 0.5000 0.0000
Tl 0.5000 0.0000 0.0000
Zn 0.0000 0.0000 0.5000
Ag 0.5000 0.5000 0.5000
```

How do the energies compare? Relative to the most stable structure, in meV/atom: a 0; b 40.